[1]
Entry from Alexandria: a geometry-optimized Bi5SbPt4 structure (PBE-GGA).

Cell and atoms, written as POSCAR:
```
Bi5SbPt4
1.0
-2.951 -2.656 -0.105
5.026 -5.669 2.154
-2.334 5.280 7.151
Bi Sb Pt
5 1 4
direct
0.830 0.667 0.660
0.833 0.180 0.667
0.167 0.820 0.333
0.500 0.500 0.000
0.170 0.333 0.340
0.500 0.000 0.000
0.340 0.927 0.679
0.995 0.761 0.990
0.660 0.073 0.321
0.005 0.239 0.010
```

## Properties
M_tot: 0.000 Bohr magnetons per cell
E_form (uncorrected): -0.153 eV per atom
Volume: 261 Å³ per cell
Symmetry: C2/m (12)



[2]
Entry from Alexandria: a geometry-optimized Dy2Y3Ho structure (PBE-GGA).

Cell and atoms, written as POSCAR:
```
Dy2Y3Ho
1.0
-4.525 2.566 3.277
-2.793 -6.429 1.178
6.194 2.455 6.642
Dy Y Ho
4 6 2
direct
0.583 0.541 0.333
0.083 0.792 0.333
0.917 0.208 0.667
0.417 0.459 0.667
0.250 0.375 0.000
0.750 0.625 0.000
0.083 0.291 0.333
0.417 0.958 0.667
0.583 0.042 0.333
0.917 0.709 0.667
0.750 0.125 0.000
0.250 0.875 0.000
```

## Properties
M_tot: 0.000 Bohr magnetons per cell
E_form: 0.0235 eV per atom
Volume: 381 Å³ per cell
Symmetry: C2/c (15)



[3]
Entry from Alexandria: a geometry-optimized BaCu2PH structure (PBE-GGA).

Cell and atoms, written as POSCAR:
```
BaCu2PH
1.0
6.241 0.000 0.000
0.000 6.320 0.000
0.000 0.000 6.241
P Ba Cu H
1 1 2 1
direct
0.000 0.500 0.000
0.000 0.000 0.000
0.000 0.000 0.500
0.500 0.000 0.000
0.500 0.500 0.500
```

## Properties
M_tot: 2.715 Bohr magnetons per cell
Total DFT energy (no corrections): -2.109 eV/atom
Volume: 246 Å³ per cell
Symmetry: P4/mmm (123)